Entry 1:
DFT (PBE) results for a relaxed structure of Cu5Sn4.

Unit cell a=12.891 b=7.434 c=10.239 alpha=90.00 beta=90.52 gamma=90.00
Space group C2 (No. 5)
One atom of each set of equivalent atoms:
Cu 0.000 0.000 0.000 (multiplicity 2)
Cu 0.008 0.317 0.874 (multiplicity 4)
Cu 0.008 0.334 0.623 (multiplicity 4)
Cu 0.160 0.863 0.874 (multiplicity 4)
Cu 0.166 0.840 0.126 (multiplicity 4)
Cu 0.168 0.856 0.624 (multiplicity 4)
Cu 0.170 0.177 0.749 (multiplicity 4)
Cu 0.175 0.833 0.377 (multiplicity 4)
Sn 0.000 0.643 0.000 (multiplicity 2)
Sn 0.000 0.669 0.500 (multiplicity 2)
Sn 0.009 0.990 0.270 (multiplicity 4)
Sn 0.150 0.499 0.249 (multiplicity 4)
Sn 0.163 0.535 0.752 (multiplicity 4)
Sn 0.169 0.177 0.479 (multiplicity 4)
Sn 0.179 0.186 0.020 (multiplicity 4)

Computed properties:
- Fermi-level density of states: 0.435 states/eV/atom
- DFT total energy: -4.063 eV/atom
- Total moment: 0.00 μB/f.u.
- E above lowest polymorph: 13 meV/atom
- Density: 8.05 g cm⁻³
- Formation energy from the elements: -0.008 eV per atom

Entry 2:
DFT (PBE) results for a relaxed structure of AlZn3Cl.

Unit cell a=4.943 b=4.943 c=4.943 alpha=90.00 beta=90.00 gamma=90.00
Space group Pm-3m (No. 221)
One atom of each set of equivalent atoms:
Al 0.000 0.000 0.000 (multiplicity 1)
Zn 0.000 0.000 0.500 (multiplicity 3)
Cl 0.500 0.500 0.500 (multiplicity 1)

Computed properties:
- Fermi-level density of states: 0.137 states/eV/atom
- DFT total energy: -1.777 eV/atom
- Total moment: 0.00 μB/f.u.
- E above lowest polymorph: 0 meV/atom
- Density: 3.56 g cm⁻³